Sr2ScCu9 after structural relaxation. Source: Alexandria, functional PBE-GGA.

Cell lengths 5.1462, 5.1462, 26.2353 Å; angles 90.00, 90.00, 120.00 degrees
With the nearest neighbours (Å) after each atom.
Space group R-3m (No. 166, hexagonal axes)
Inequivalent atoms, fractional coordinates:
Sr: 0.0000 0.0000 0.1378 x6  9 Cu 3.04-3.07, 3 Sr 3.33-3.34
Sc: 0.0000 0.0000 0.0000 x3  18 Cu 2.97-3.26
Cu: 0.0000 0.0000 0.3320 x6  6 Cu 2.48-2.51
Cu: 0.0000 0.0000 0.5000 x3  6 Cu 2.79, 6 Sr 3.07
Cu: 0.0042 0.5021 0.0763 x18  6 Cu 2.48-2.61

Density in g cm⁻³: 6.6
Formation energy from the elements in eV per formula unit: -0.22
Total moment in μB/atom: 0.0000
E_tot in eV/cell: -140.35

---

Sr2Sc2Cu after structural relaxation. Source: Alexandria, functional PBE-GGA.

Cell lengths 4.0167, 4.0167, 20.2869 Å; angles 90.00, 90.00, 90.00 degrees
With the nearest neighbours (Å) after each atom.
Space group I4/mmm (No. 139)
Inequivalent atoms, fractional coordinates:
Sr: 0.0000 0.0000 0.0913 x4  4 Cu 3.39, 1 Sr 3.70, 4 Sc 3.79
Sc: 0.0000 0.5000 0.2500 x4  4 Sc 2.84
Cu: 0.0000 0.0000 0.5000 x2  8 Sr 3.39

Density in g cm⁻³: 3.3
Offset from the most stable computed form in meV/atom: 45
Formation energy from the elements in eV per formula unit: 1.66
Total moment in μB/atom: 0.0000
E_tot in eV/cell: -36.92

---

Sr2Sc2Cu after structural relaxation. Source: Alexandria, functional PBE-GGA.

Cell lengths 7.6528, 7.6528, 5.6800 Å; angles 90.00, 90.00, 90.00 degrees
With the nearest neighbours (Å) after each atom.
Space group P4/mbm (No. 127)
Inequivalent atoms, fractional coordinates:
Sr: 0.1588 0.3412 0.0000 x4  2 Cu 2.88
Sc: 0.1517 0.6517 0.5000 x4  1 Sc 3.28, 2 Sr 3.50
Cu: 0.0000 0.0000 0.0000 x2  4 Sr 2.88

Density in g cm⁻³: 3.3
Offset from the most stable computed form in meV/atom: 329
Formation energy from the elements in eV per formula unit: 3.08
Total moment in μB/atom: 0.3132
E_tot in eV/cell: -34.08

---

SrScCu2Te4 after structural relaxation. Source: Alexandria, functional PBE-GGA.

Cell lengths 7.1091, 7.7302, 8.6166 Å; angles 90.00, 90.00, 90.00 degrees
With the nearest neighbours (Å) after each atom.
Space group I222 (No. 23)
Inequivalent atoms, fractional coordinates:
Sr: 0.0000 0.0000 0.0000 x2  8 Te 3.37-3.53
Sc: 0.0000 0.0000 0.5000 x2  4 Te 2.80
Cu: 0.0000 0.5000 0.1526 x4  2 Te 2.57, 1 Cu 2.63
Te: 0.2246 0.2125 0.3124 x8  1 Cu 2.57, 1 Sc 2.80

Raw formation energy in eV per atom: -0.64
Density in g cm⁻³: 5.4
Total moment in μB/atom: 0.0000
E_tot in eV/cell: -67.73

---

ScTaCu2 after structural relaxation. Source: Alexandria, functional PBE-GGA.

Cell lengths 7.1660, 7.1660, 5.3150 Å; angles 90.00, 90.00, 90.00 degrees
With the nearest neighbours (Å) after each atom.
Space group I-42d (No. 122)
Inequivalent atoms, fractional coordinates:
Sc: 0.0000 0.0000 0.0000 x4  2 Ta 2.66, 4 Cu 2.68
Ta: 0.0000 0.0000 0.5000 x4  4 Cu 2.56, 2 Sc 2.66
Cu: 0.2376 0.7500 0.6250 x8  2 Ta 2.56, 2 Cu 2.66, 2 Sc 2.68

Density in g cm⁻³: 8.6
Offset from the most stable computed form in meV/atom: 478
Formation energy from the elements in eV per formula unit: 1.87
Total moment in μB/atom: 0.0000
E_tot in eV/cell: -98.03

---

ScTaCu2 after structural relaxation. Source: Alexandria, functional PBE-GGA.

Cell lengths 6.5009, 6.5365, 3.0120 Å; angles 90.00, 90.00, 90.00 degrees
With the nearest neighbours (Å) after each atom.
Space group Cmmm (No. 65)
Inequivalent atoms, fractional coordinates:
Sc: 0.0000 0.0000 0.0000 x2  8 Cu 2.75, 2 Sc 3.01
Ta: 0.0000 0.5000 0.0000 x2  8 Cu 2.75, 2 Ta 3.01
Cu: 0.2500 0.2500 0.5000 x4  4 Ta 2.75, 4 Sc 2.75, 2 Cu 3.01

Density in g cm⁻³: 9.2
Offset from the most stable computed form in meV/atom: 34
Formation energy from the elements in eV per formula unit: 0.09
Total moment in μB/atom: 0.0000
E_tot in eV/cell: -52.57